(1)
VASP calculation (PBE-GGA) on an optimized crystal structure of CsKHg10.

Cell lengths 5.457, 6.402, 11.187 Å; angles 90.00, 90.00, 90.00 degrees
Space group Pmmm (No. 47)
One atom of each set of equivalent atoms:
1 Cs 0.000 0.000 0.000 x1
2 K 0.000 0.500 0.500 x1
3 Hg 0.000 0.000 0.341 x2
4 Hg 0.000 0.500 0.175 x2
5 Hg 0.500 0.000 0.500 x1
6 Hg 0.500 0.254 0.257 x4
7 Hg 0.500 0.500 0.000 x1

crystal system: orthorhombic
total DFT energy (no corrections): -0.580 eV per atom
total magnetization: 0.00 μB/f.u.
density of states at the Fermi level: 4.57 states/eV/cell

(2)
VASP calculation (PBE-GGA) on an optimized crystal structure of Cs3K3Hg4.

Cell lengths 5.517, 13.607, 13.586 Å; angles 90.00, 90.00, 90.00 degrees
Space group Amm2 (No. 38)
One atom of each set of equivalent atoms:
1 Cs 0.000 0.000 0.000 x2
2 Cs 0.000 0.174 0.332 x4
3 K 0.000 0.000 0.659 x2
4 K 0.500 0.245 0.582 x4
5 Hg 0.500 0.000 0.215 x2
6 Hg 0.500 0.000 0.453 x2
7 Hg 0.500 0.114 0.823 x4

crystal system: orthorhombic
total DFT energy (no corrections): -0.900 eV per atom
total magnetization: 0.00 μB/f.u.
density of states at the Fermi level: 15.50 states/eV/cell

Question: What is the formula in the first record?
Answer: CsKHg10

Question: Among the records above, which one has the lowest density of states at the Fermi level?
Answer: CsKHg10

Question: Look up the total DFT energy (no corrections) of the first one.
Answer: -0.580 eV per atom